(1)
AlVBi2O | PBE+U | optimized geometry

a b c (Å): 5.3314 4.9331 5.3314
angles (deg): 90.00 90.00 90.00
Last column: magnetic moment on the atom in μB.
Atoms (fractional coordinates):
O1 0.5000 0.5000 0.5000  0.86
V1 0.0000 0.5000 0.0000  1.21
Bi1 0.0000 0.0000 0.5000  0.05
Bi2 0.5000 0.0000 0.0000  0.07
Al1 0.0000 0.0000 0.0000  -0.03

Results
DFT total energy (eV per atom): -3.3985
Density (g/cm3): 6.062
N(E_F) (states/eV/cell): 8.86
Space group: P4/mmm
Crystal system: tetragonal
Spin magnetization (μB/cell): 2.4

***

(2)
Rb2BiMoF6 | PBE+U | optimized geometry

a b c (Å): 7.1236 7.1236 6.7194
angles (deg): 57.99 57.99 90.00
Last column: magnetic moment on the atom in μB.
Atoms (fractional coordinates):
Rb1 0.7500 0.2500 0.5000  0.01
Rb2 0.2500 0.7500 0.5000  0.01
F1 0.7078 0.7078 0.0000  0.05
F2 0.7384 0.7384 0.5231  0.04
F3 0.2922 0.2922 0.0000  0.05
F4 0.7078 0.2922 0.0000  0.05
F5 0.2922 0.7078 0.0000  0.05
F6 0.2616 0.2616 0.4769  0.04
Mo1 0.5000 0.5000 0.0000  2.82
Bi1 0.0000 0.0000 0.0000  1.13

Results
DFT total energy (eV per atom): -4.6618
Density (g/cm3): 4.340
N(E_F) (states/eV/cell): 0.00
Space group: I4/mmm
Crystal system: tetragonal
Spin magnetization (μB/cell): 5.0